Record 1
The following is a PBE calculation of an optimized crystal structure of NaHfSN2, from Alexandria.

Summary:
E above lowest polymorph, meV/atom: 1554
Uncorrected formation energy, eV/atom: 1.39
Total magnetic moment, μB/f.u.: 2.7
E_tot, eV per atom: -5.02

```
data_NaHfSN2
_chemical_formula_sum 'Na1 Hf1 S1 N2'
_space_group_name_H-M_alt 'P 4/m m m'
_space_group_IT_number 123
_space_group_name_Hall '-P 4 2'
_cell_length_a 4.0088
_cell_length_b 4.0088
_cell_length_c 4.6064
_cell_angle_alpha 90.00
_cell_angle_beta 90.00
_cell_angle_gamma 90.00
loop_
_atom_site_label
_atom_site_fract_x
_atom_site_fract_y
_atom_site_fract_z
Na1 0.0000 0.0000 0.0000
Hf1 0.5000 0.5000 0.5000
S1 0.0000 0.0000 0.5000
N1 0.0000 0.5000 0.0000
```

---

Record 2
The following is a PBE calculation of an optimized crystal structure of KHg2Mo, from Alexandria.

Summary:
E_form, kJ/mol of atoms: 62.02
E above lowest polymorph, meV/atom: 119
Total magnetic moment, μB/f.u.: 0.8
E_tot, eV per atom: -2.49

```
data_KHg2Mo
_chemical_formula_sum 'K2 Hg4 Mo2'
_space_group_name_H-M_alt 'C 1 m 1'
_space_group_IT_number 8
_space_group_name_Hall 'C -2y'
_cell_length_a 11.7206
_cell_length_b 2.8975
_cell_length_c 5.4265
_cell_angle_alpha 90.00
_cell_angle_beta 90.25
_cell_angle_gamma 90.00
loop_
_atom_site_label
_atom_site_fract_x
_atom_site_fract_y
_atom_site_fract_z
K1 0.0000 0.0000 0.0000
Hg1 0.2494 0.0000 0.9987
Hg2 0.4479 0.0000 0.4994
Mo1 0.2243 0.5000 0.4991
```